Cd2CuTe | the Alexandria database | PBE-GGA | optimized geometry; DFT total energy = -2.0739 eV per atom; mass density = 7.6 g/cm³; energy relative to the elements, uncorrected = 0.193 eV/atom; symmetry = R-3m
1.0
3.385 0.000 0.000
-1.692 2.931 0.000
0.000 0.000 27.504
Cd Cu Te
6 3 3
Direct
0.000 0.000 0.236
0.000 0.000 0.764
0.333 0.667 0.430
0.333 0.667 0.903
0.667 0.333 0.097
0.667 0.333 0.570
0.000 0.000 0.500
0.333 0.667 0.167
0.667 0.333 0.833
0.000 0.000 0.000
0.333 0.667 0.667
0.667 0.333 0.333

Cr3SnBi | the Alexandria database | PBE-GGA | optimized geometry; DFT total energy = -6.3030 eV per atom; mass density = 6.2 g/cm³; energy relative to the lowest polymorph listed for this composition = 0.000 eV per atom; ΔE_f = 1.05 eV/atom; symmetry = Pm-3m
1.0
5.069 0.000 0.000
0.000 5.069 0.000
0.000 0.000 5.069
Cr Sn Bi
3 1 1
Direct
0.000 0.000 0.500
0.000 0.500 0.000
0.500 0.000 0.000
0.000 0.000 0.000
0.500 0.500 0.500

VTcI2N | the Alexandria database | PBE-GGA | optimized geometry; DFT total energy = -5.2980 eV per atom; mass density = 6.1 g/cm³; energy relative to the elements, uncorrected = 0.884 eV/atom; symmetry = P4/mmm
1.0
5.523 0.000 0.000
0.000 5.523 0.000
0.000 0.000 3.733
V Tc I N
1 1 2 1
Direct
0.000 0.000 0.000
0.500 0.500 0.500
0.000 0.500 0.500
0.500 0.000 0.500
0.500 0.500 0.000

HfTaCu | the Alexandria database | PBE-GGA | optimized geometry; DFT total energy = -8.7162 eV per atom; mass density = 13.4 g/cm³; energy relative to the lowest polymorph listed for this composition = 0.000 eV per atom; ΔE_f = -0.08 eV/atom; symmetry = P4/nmm
1.0
3.332 0.000 0.000
0.000 3.332 0.000
0.000 0.000 9.425
Hf Ta Cu
2 2 2
Direct
0.250 0.250 0.228
0.750 0.750 0.772
0.250 0.250 0.583
0.750 0.750 0.417
0.250 0.250 0.933
0.750 0.750 0.067

PbBrCl2 | the Alexandria database | PBE-GGA | optimized geometry; DFT total energy = -2.7006 eV per atom; mass density = 5.8 g/cm³; energy relative to the lowest polymorph listed for this composition = 0.250 eV per atom; energy relative to the elements, uncorrected = -0.432 eV/atom; symmetry = Fm-3m
1.0
7.440 0.000 0.000
0.000 7.440 0.000
0.000 0.000 7.440
Pb Br Cl
4 4 8
Direct
0.000 0.000 0.000
0.000 0.500 0.500
0.500 0.000 0.500
0.500 0.500 0.000
0.000 0.000 0.500
0.000 0.500 0.000
0.500 0.000 0.000
0.500 0.500 0.500
0.250 0.250 0.250
0.250 0.250 0.750
0.250 0.750 0.250
0.250 0.750 0.750
0.750 0.250 0.250
0.750 0.250 0.750
0.750 0.750 0.250
0.750 0.750 0.750

KNaPb2F8 | the Alexandria database | PBE-GGA | optimized geometry; DFT total energy = -4.3877 eV per atom; mass density = 5.5 g/cm³; energy relative to the elements, uncorrected = -2.321 eV/atom; symmetry = Pmmm
1.0
4.014 0.000 0.000
0.000 5.888 0.000
0.000 0.000 7.995
K Na Pb F
1 1 2 8
Direct
0.000 0.000 0.000
0.000 0.000 0.500
0.500 0.500 0.255
0.500 0.500 0.745
0.000 0.279 0.263
0.000 0.279 0.737
0.000 0.721 0.263
0.000 0.721 0.737
0.500 0.270 0.500
0.500 0.287 0.000
0.500 0.713 0.000
0.500 0.730 0.500